Entry 1:
The following is a DFT calculation (GGA-PBE) of a relaxed structure of EuSnGeAu.

Properties
For the total energy, the calculation gives -95.10 eV for the cell shown. For the calculated formation energy, the calculation gives -1.60 eV per formula unit.

The structure in CIF format:
```
data_EuSnGeAu
_symmetry_space_group_name_H-M 'F -4 3 m'
_symmetry_Int_Tables_number 216
_symmetry_space_group_name_Hall 'F -4 2 3'
_cell_length_a 7.232
_cell_length_b 7.232
_cell_length_c 7.232
_cell_angle_alpha 90.00
_cell_angle_beta 90.00
_cell_angle_gamma 90.00
loop_
_atom_site_label
_atom_site_fract_x
_atom_site_fract_y
_atom_site_fract_z
_atom_site_occupancy
Eu1 0.000 0.000 0.000 1
Sn1 0.000 0.000 0.500 1
Ge1 0.250 0.250 0.750 1
Au1 0.250 0.250 0.250 1
```

Entry 2:
The following is a DFT calculation (GGA-PBE) of a relaxed structure of TbEuGeAu.

Properties
For the total energy, the calculation gives -103.13 eV for the cell shown. For the calculated formation energy, the calculation gives -2.98 eV per formula unit.

The structure in CIF format:
```
data_TbEuGeAu
_symmetry_space_group_name_H-M 'F -4 3 m'
_symmetry_Int_Tables_number 216
_symmetry_space_group_name_Hall 'F -4 2 3'
_cell_length_a 7.334
_cell_length_b 7.334
_cell_length_c 7.334
_cell_angle_alpha 90.00
_cell_angle_beta 90.00
_cell_angle_gamma 90.00
loop_
_atom_site_label
_atom_site_fract_x
_atom_site_fract_y
_atom_site_fract_z
_atom_site_occupancy
Tb1 0.000 0.000 0.000 1
Eu1 0.000 0.000 0.500 1
Ge1 0.250 0.250 0.750 1
Au1 0.250 0.250 0.250 1
```